Entry A
## RbTl6Sn2 (PBE)

Data for a relaxed structure of RbTl6Sn2.

Lattice parameters (Å, degrees): 5.2941 5.2942 10.8938 90.00 90.00 90.00
Last column: nearest neighbours and their distance in Å.
Sites, in units of the cell vectors:
Rb 0.0000 0.0000 0.0000  8 Sn 4.02, 8 Tl 4.17
Tl 0.5000 0.0000 0.2956  2 Sn 3.18, 4 Tl 3.46
Sn 0.5000 0.5000 0.1345  1 Sn 2.93, 4 Tl 3.18
Tl 0.0000 0.0000 0.5000  12 Tl 3.46-3.74
Tl 0.0000 0.5000 0.7044  2 Sn 3.18, 4 Tl 3.46
Sn 0.5000 0.5000 0.8655  1 Sn 2.93, 4 Tl 3.18
Tl 0.5000 0.0000 0.7044  2 Sn 3.18, 4 Tl 3.46
Tl 0.5000 0.5000 0.5000  12 Tl 3.46-3.74
Tl 0.0000 0.5000 0.2956  2 Sn 3.18, 4 Tl 3.46

Entry B
## RbTl6Sn2 (PBE)

Data for a relaxed structure of RbTl6Sn2.

Lattice parameters (Å, degrees): 10.1907 10.1907 10.1907 60.00 60.00 60.00
Last column: nearest neighbours and their distance in Å.
Sites, in units of the cell vectors:
Sn 0.6250 0.1250 0.1250  6 Tl 3.06
Sn 0.1250 0.1250 0.6250  6 Tl 3.06
Tl 0.2424 0.7576 0.2424  2 Sn 3.06
Tl 0.2424 0.2424 0.7576  2 Sn 3.06
Tl 0.0076 0.0076 0.4924  2 Sn 3.06
Tl 0.4924 0.0076 0.4924  2 Sn 3.06
Tl 0.0076 0.4924 0.0076  2 Sn 3.06
Sn 0.1250 0.1250 0.1250  6 Tl 3.06
Tl 0.2424 0.7576 0.7576  2 Sn 3.06
Tl 0.7576 0.7576 0.2424  2 Sn 3.06
Tl 0.0076 0.4924 0.4924  2 Sn 3.06
Tl 0.7576 0.2424 0.2424  2 Sn 3.06
Rb 0.7500 0.7500 0.7500  6 Tl 3.71
Rb 0.5000 0.5000 0.5000  6 Tl 3.71
Sn 0.1250 0.6250 0.1250  6 Tl 3.06
Tl 0.4924 0.4924 0.0076  2 Sn 3.06
Tl 0.4924 0.0076 0.0076  2 Sn 3.06
Tl 0.7576 0.2424 0.7576  2 Sn 3.06

Least stable: entry B

Entry A
## RbVSn2 (PBE)

Data for a relaxed structure of RbVSn2.

Lattice parameters (Å, degrees): 3.4594 3.4594 11.3619 81.24 81.24 60.00
Last column: nearest neighbours and their distance in Å.
Sites, in units of the cell vectors:
V 0.5000 0.5000 0.5000  6 Sn 2.88
Sn 0.8954 0.8954 0.3139  3 V 2.88
Rb 0.0000 0.0000 0.0000  6 Rb 3.46, 2 Sn 3.51
Sn 0.1046 0.1046 0.6861  3 V 2.88

Entry B
## RbVSn2 (PBE)

Data for a relaxed structure of RbVSn2.

Lattice parameters (Å, degrees): 6.1628 6.1628 9.6823 71.44 71.44 90.00
Last column: nearest neighbours and their distance in Å.
Sites, in units of the cell vectors:
V 0.2500 0.7500 0.5000  4 Sn 2.65
Sn 0.3750 0.6261 0.7500  2 V 2.65
Rb 0.0000 0.0000 0.0000  8 Sn 4.06-4.07, 4 V 4.36
V 0.5000 0.5000 0.0000  4 Sn 2.65
Rb 0.7500 0.2500 0.5000  8 Sn 4.06-4.07, 4 V 4.36
Sn 0.3761 0.6250 0.2500  2 V 2.65
Sn 0.3739 0.1250 0.2500  2 V 2.65
Sn 0.8750 0.6239 0.7500  2 V 2.65

Entry C
## RbVSn2 (PBE)

Data for a relaxed structure of RbVSn2.

Lattice parameters (Å, degrees): 5.3371 5.3371 5.3371 60.00 60.00 60.00
Last column: nearest neighbours and their distance in Å.
Sites, in units of the cell vectors:
V 0.0000 0.0000 0.0000  8 Sn 3.27
Sn 0.7500 0.7500 0.7500  4 Rb 3.27, 4 V 3.27
Sn 0.2500 0.2500 0.2500  4 Rb 3.27, 4 V 3.27
Rb 0.5000 0.5000 0.5000  8 Sn 3.27

Least stable: entry C

Entry A
## RbSn3W (PBE)

Data for a relaxed structure of RbSn3W.

Lattice parameters (Å, degrees): 5.3606 5.3606 5.3606 90.00 90.00 90.00
Last column: nearest neighbours and their distance in Å.
Sites, in units of the cell vectors:
Sn 0.5000 0.0000 0.0000  2 W 2.68
W 0.0000 0.0000 0.0000  6 Sn 2.68
Sn 0.0000 0.0000 0.5000  2 W 2.68
Rb 0.5000 0.5000 0.5000  12 Sn 3.79
Sn 0.0000 0.5000 0.0000  2 W 2.68

Entry B
## RbSn3W (PBE)

Data for a relaxed structure of RbSn3W.

Lattice parameters (Å, degrees): 5.6973 5.6973 5.6973 90.00 90.00 90.00
Last column: nearest neighbours and their distance in Å.
Sites, in units of the cell vectors:
Sn 0.5000 0.0000 0.0000  2 Rb 2.85
Sn 0.0000 0.5000 0.0000  2 Rb 2.85
Sn 0.0000 0.0000 0.5000  2 Rb 2.85
Rb 0.0000 0.0000 0.0000  6 Sn 2.85
W 0.5000 0.5000 0.5000  12 Sn 4.03

Least stable: entry B

Entry A
## RbYSn (PBE)

Data for a relaxed structure of RbYSn.

Lattice parameters (Å, degrees): 5.4583 5.4583 8.4427 90.00 90.00 90.00
Last column: nearest neighbours and their distance in Å.
Sites, in units of the cell vectors:
Rb 0.0000 0.5000 0.8702  5 Sn 3.82-4.19, 4 Y 4.15
Y 0.0000 0.0000 0.5000  4 Sn 3.11
Y 0.5000 0.5000 0.5000  4 Sn 3.11
Rb 0.5000 0.0000 0.1298  5 Sn 3.82-4.19, 4 Y 4.15
Sn 0.0000 0.5000 0.3227  4 Y 3.11
Sn 0.5000 0.0000 0.6773  4 Y 3.11

Entry B
## RbYSn (PBE)

Data for a relaxed structure of RbYSn.

Lattice parameters (Å, degrees): 3.6473 4.4585 15.0378 90.04 89.83 90.00
Last column: nearest neighbours and their distance in Å.
Sites, in units of the cell vectors:
Sn 0.6280 0.5617 0.1861  1 Sn 3.25, 8 Y 3.26-3.42
Y 0.1267 0.0620 0.3086  8 Sn 3.20-3.42, 1 Y 3.38
Y 0.1296 0.0613 0.0839  4 Sn 3.26-3.27, 3 Y 3.38-3.65
Rb 0.6328 0.5604 0.8663  2 Rb 3.65
Rb 0.1235 0.0628 0.5685  2 Rb 3.65, 4 Sn 3.82, 1 Y 3.91
Sn 0.6256 0.5624 0.4021  4 Y 3.20-3.21, 1 Sn 3.25

Entry C
## RbYSn (PBE)

Data for a relaxed structure of RbYSn.

Lattice parameters (Å, degrees): 8.6744 4.5676 8.2386 106.08 98.41 58.21
Last column: nearest neighbours and their distance in Å.
Sites, in units of the cell vectors:
Sn 0.3163 0.2676 0.2355  4 Y 3.06
Y 0.0661 0.9628 0.1253  4 Sn 3.06
Sn 0.8162 0.7680 0.2360  4 Y 3.06
Rb 0.5654 0.3293 0.8564  3 Y 3.88-4.26, 4 Sn 4.19-4.20
Rb 0.0655 0.2086 0.6157  3 Y 3.88-4.26, 4 Sn 4.20-4.21
Y 0.5662 0.5733 0.3466  4 Sn 3.06

Entry D
## RbYSn (PBE)

Data for a relaxed structure of RbYSn.

Lattice parameters (Å, degrees): 5.8006 5.8006 6.7053 90.00 90.00 120.00
Last column: nearest neighbours and their distance in Å.
Sites, in units of the cell vectors:
Y 0.3333 0.6667 0.7500  5 Sn 3.35, 6 Rb 3.75
Sn 0.6667 0.3333 0.7500  5 Y 3.35, 6 Rb 3.75
Rb 0.0000 0.0000 0.0000  2 Rb 3.35, 6 Y 3.75, 6 Sn 3.75
Sn 0.3333 0.6667 0.2500  5 Y 3.35, 6 Rb 3.75
Rb 0.0000 0.0000 0.5000  2 Rb 3.35, 6 Y 3.75, 6 Sn 3.75
Y 0.6667 0.3333 0.2500  5 Sn 3.35, 6 Rb 3.75

Least stable: entry C